First-principles (PBE) data for a relaxed structure of La2BeMo, as listed in the Alexandria database.

```
La2BeMo
1.0
7.924 0.000 0.000
0.000 7.924 0.000
3.962 3.962 2.994
La Be Mo
4 2 2
Cartesian
1.913 5.943 0.749 La
9.905 9.973 2.246 La
5.943 5.875 2.246 La
6.011 1.981 0.749 La
3.962 3.962 0.000 Be
3.962 7.924 1.497 Be
7.924 3.962 1.497 Mo
0.000 0.000 0.000 Mo
```

energy of formation from the pure elements: 0.769 eV/atom
crystal system: tetragonal
total magnetization: 0.0 μB per formula unit

First-principles (PBE) data for a relaxed structure of LaBeMo, as listed in the Alexandria database.

```
LaBeMo
1.0
4.452 0.000 0.000
2.226 3.855 0.000
2.226 1.285 3.635
La Be Mo
1 1 1
Cartesian
4.452 2.570 1.817 La
0.000 0.000 0.000 Be
6.678 3.855 2.726 Mo
```

energy relative to the lowest polymorph listed for this composition: 564 meV/atom
energy of formation from the pure elements: 0.919 eV/atom
crystal system: cubic
total magnetization: 0.8 μB per formula unit

First-principles (PBE) data for a relaxed structure of LaBeMo, as listed in the Alexandria database.

```
LaBeMo
1.0
4.161 0.000 0.000
-2.080 3.603 0.000
0.000 0.000 4.134
Be La Mo
1 1 1
Cartesian
0.000 0.000 3.443 Be
0.000 2.402 1.378 La
2.080 1.201 3.447 Mo
```

energy relative to the lowest polymorph listed for this composition: 148 meV/atom
energy of formation from the pure elements: 0.503 eV/atom
crystal system: hexagonal
total magnetization: 0.7 μB per formula unit

First-principles (PBE) data for a relaxed structure of LaBeMo2, as listed in the Alexandria database.

```
LaBeMo2
1.0
-3.879 -0.759 6.462
-6.064 -2.307 -3.910
-4.171 -3.966 1.471
Mo La Be
4 2 2
Cartesian
-9.236 -4.671 5.007 Mo
-9.449 -5.111 0.388 Mo
-6.975 -2.853 1.494 Mo
-2.567 -1.430 1.155 Mo
0.000 0.000 0.000 La
-6.510 -3.129 4.604 La
-4.971 -1.533 1.276 Be
-7.603 -3.903 -0.582 Be
```

energy of formation from the pure elements: 0.733 eV/atom
crystal system: tetragonal
total magnetization: 0.0 μB per formula unit

Question: Among the records above, which one has the lowest energy of formation from the pure elements?
Answer: number 3

Please write out number 4 again, unchanged.
First-principles (PBE) data for a relaxed structure of LaBeMo2, as listed in the Alexandria database.

```
LaBeMo2
1.0
-3.879 -0.759 6.462
-6.064 -2.307 -3.910
-4.171 -3.966 1.471
Mo La Be
4 2 2
Cartesian
-9.236 -4.671 5.007 Mo
-9.449 -5.111 0.388 Mo
-6.975 -2.853 1.494 Mo
-2.567 -1.430 1.155 Mo
0.000 0.000 0.000 La
-6.510 -3.129 4.604 La
-4.971 -1.533 1.276 Be
-7.603 -3.903 -0.582 Be
```

energy of formation from the pure elements: 0.733 eV/atom
crystal system: tetragonal
total magnetization: 0.0 μB per formula unit

Please write out number 3 again, unchanged.
First-principles (PBE) data for a relaxed structure of LaBeMo, as listed in the Alexandria database.

```
LaBeMo
1.0
4.161 0.000 0.000
-2.080 3.603 0.000
0.000 0.000 4.134
Be La Mo
1 1 1
Cartesian
0.000 0.000 3.443 Be
0.000 2.402 1.378 La
2.080 1.201 3.447 Mo
```

energy relative to the lowest polymorph listed for this composition: 148 meV/atom
energy of formation from the pure elements: 0.503 eV/atom
crystal system: hexagonal
total magnetization: 0.7 μB per formula unit